This record from Alexandria describes NbCl4 after structural relaxation. The functional is PBE.

Properties
formation energy without anion corrections = -664 meV per atom
uncorrected energy = -4.156 eV/atom
space-group type = No. 221

Lattice parameters (Å, degrees): 4.852 4.852 4.852 90.00 90.00 90.00
Each line ends with the local moment (μB).
Element x y z (fractional)
Cl: 0.000 0.000 0.000  0.16
Cl: 0.000 0.500 0.500  0.01
Cl: 0.500 0.500 0.000  0.01
Nb: 0.500 0.500 0.500  -0.08
Cl: 0.500 0.000 0.500  0.01

This record from Alexandria describes Ca6Al7O16F after structural relaxation. The functional is PBE.

Properties
formation energy without anion corrections = -3114 meV per atom
uncorrected energy = -7.095 eV/atom
space-group type = No. 122

Lattice parameters (Å, degrees): 10.454 10.454 10.454 108.95 108.95 110.51
Element x y z (fractional)
O: 0.581 0.647 0.366
O: 0.752 0.993 0.621
O: 0.280 0.214 0.634
Ca: 0.693 0.693 0.000
O: 0.468 0.313 0.226
O: 0.353 0.720 0.934
Ca: 0.125 0.986 0.361
Ca: 0.125 0.512 0.887
O: 0.265 0.725 0.662
Al: 0.250 0.750 0.500
Ca: 0.557 0.057 0.500
O: 0.243 0.502 0.121
Al: 0.915 0.161 0.790
O: 0.492 0.837 0.274
Al: 0.125 0.249 0.624
Al: 0.625 0.501 0.376
Al: 0.499 0.875 0.124
Ca: 0.014 0.375 0.139
O: 0.854 0.814 0.838
O: 0.985 0.146 0.960
Ca: 0.488 0.375 0.613
O: 0.782 0.508 0.345
O: 0.186 0.025 0.040
O: 0.464 0.030 0.134
O: 0.669 0.536 0.566
O: 0.396 0.735 0.460
F: 0.750 0.250 0.500
O: 0.897 0.331 0.866
O: 0.877 0.757 0.258
Al: 0.335 0.625 0.746
O: 0.064 0.604 0.338
O: 0.275 0.936 0.540
Ca: 0.307 0.307 0.000
O: 0.786 0.419 0.066
Ca: 0.943 0.443 0.500
Ca: 0.236 0.875 0.861
Al: 0.751 0.375 0.876
O: 0.869 0.248 0.242
Al: 0.875 0.085 0.246
Al: 0.000 0.000 0.000
Al: 0.879 0.589 0.254
Ca: 0.625 0.764 0.639
O: 0.087 0.242 0.774
O: 0.163 0.437 0.655
Al: 0.375 0.121 0.710
O: 0.007 0.627 0.758
O: 0.563 0.218 0.726
O: 0.373 0.131 0.379
F: 0.500 0.500 0.000
O: 0.381 0.123 0.879
O: 0.498 0.619 0.742
Al: 0.839 0.629 0.754
Ca: 0.762 0.875 0.387
Al: 0.411 0.665 0.290
Al: 0.371 0.125 0.210
Ca: 0.625 0.238 0.113
O: 0.970 0.103 0.434
O: 0.975 0.015 0.162
O: 0.758 0.532 0.845
O: 0.687 0.913 0.155

Which value of uncorrected energy does entry 2 give?
-7.095 eV/atom

What is the uncorrected energy in the second record?
-7.095 eV/atom

Among the records above, which one has the lowest formation energy without anion corrections?
Ca6Al7O16F

Look up the formation energy without anion corrections of the second one.
-3114 meV per atom